1.
A plane-wave DFT calculation with PBE was carried out for a geometry-optimized Sr2Tl12Pd7 structure. Values from VASP.

Summary:
* energy of formation from the pure elements: -0.21 eV per atom
* calculated volume: 24.50 A^3/atom
* final energy: -72.6 eV/f.u.
* crystal system: hexagonal

```
&SYSTEM
  ibrav = 0, nat = 21, ntyp = 3
/
ATOMIC_SPECIES
Sr 87.62 Sr.upf
Tl 204.38 Tl.upf
Pd 106.42 Pd.upf
CELL_PARAMETERS angstrom
11.790 0.000 0.000
-5.895 10.210 0.000
0.000 0.000 4.274
ATOMIC_POSITIONS crystal
Sr 0.000 0.000 0.000
Sr 0.333 0.667 0.500
Tl 0.048 0.776 0.500
Tl 0.116 0.404 0.000
Tl 0.224 0.272 0.500
Tl 0.288 0.884 0.000
Tl 0.389 0.208 0.000
Tl 0.540 0.109 0.500
Tl 0.568 0.460 0.500
Tl 0.596 0.712 0.000
Tl 0.728 0.952 0.500
Tl 0.792 0.182 0.000
Tl 0.818 0.611 0.000
Tl 0.891 0.432 0.500
Pd 0.071 0.617 0.000
Pd 0.248 0.037 0.500
Pd 0.383 0.454 0.000
Pd 0.546 0.929 0.000
Pd 0.667 0.333 0.000
Pd 0.789 0.752 0.500
Pd 0.963 0.211 0.500
```

=====

2.
A plane-wave DFT calculation with PBE was carried out for a geometry-optimized TlZn2GaIr structure. Values from VASP.

Summary:
* energy of formation from the pure elements: -0.05 eV per atom
* calculated volume: 23.22 A^3/atom
* final energy: -17.1 eV/f.u.
* crystal system: tetragonal

```
&SYSTEM
  ibrav = 0, nat = 5, ntyp = 4
/
ATOMIC_SPECIES
Tl 204.38 Tl.upf
Zn 65.41 Zn.upf
Ga 69.72 Ga.upf
Ir 192.22 Ir.upf
CELL_PARAMETERS angstrom
4.927 0.000 0.000
0.000 4.927 0.000
0.000 0.000 4.782
ATOMIC_POSITIONS crystal
Tl 0.000 0.000 0.000
Zn 0.000 0.500 0.500
Zn 0.500 0.000 0.500
Ga 0.500 0.500 0.000
Ir 0.500 0.500 0.500
```

=====

3.
A plane-wave DFT calculation with PBE was carried out for a geometry-optimized Be2VRh structure. Values from VASP.

Summary:
* E above lowest polymorph: 153 meV/atom
* energy of formation from the pure elements: -0.16 eV per atom
* calculated volume: 11.27 A^3/atom
* final energy: -24.5 eV/f.u.
* crystal system: tetragonal

```
&SYSTEM
  ibrav = 0, nat = 4, ntyp = 3
/
ATOMIC_SPECIES
Be 9.01 Be.upf
V 50.94 V.upf
Rh 102.91 Rh.upf
CELL_PARAMETERS angstrom
3.575 0.000 0.000
0.000 3.575 0.000
0.000 0.000 3.526
ATOMIC_POSITIONS crystal
Be 0.000 0.500 0.000
Be 0.500 0.000 0.000
V 0.000 0.000 0.500
Rh 0.500 0.500 0.500
```

=====

4.
A plane-wave DFT calculation with PBE was carried out for a geometry-optimized Na2Ag3Br2F4 structure. Values from VASP.

Summary:
* calculated volume: 17.51 A^3/atom
* final energy: -35.5 eV/f.u.
* crystal system: tetragonal
* formation energy from raw total energies: -1303 kJ/mol of formula units

```
&SYSTEM
  ibrav = 0, nat = 11, ntyp = 4
/
ATOMIC_SPECIES
Na 22.99 Na.upf
Ag 107.87 Ag.upf
Br 79.90 Br.upf
F 19.00 F.upf
CELL_PARAMETERS angstrom
-2.152 2.152 10.396
2.152 -2.152 10.396
2.152 2.152 -10.396
ATOMIC_POSITIONS crystal
Na 0.074 0.074 0.000
Na 0.926 0.926 0.000
Ag 0.339 0.339 0.000
Ag 0.500 0.500 0.000
Ag 0.661 0.661 0.000
Br 0.208 0.208 0.000
Br 0.792 0.792 0.000
F 0.072 0.572 0.500
F 0.428 0.928 0.500
F 0.572 0.072 0.500
F 0.928 0.428 0.500
```

=====

Question: The highest calculated volume belongs to which entry?
Answer: Sr2Tl12Pd7

=====

Question: Which value of final energy does entry 1 give?
Answer: -72.6 eV/f.u.

=====

Question: The highest calculated volume belongs to which entry?
Answer: Sr2Tl12Pd7